Entry 1:
{"formula": "PuBeAu3", "functional": "PBE", "state": "relaxed", "de_polymorph_ev_per_atom": 0.098, "total_energy_ry_per_atom": -0.427, "vol_a3_per_atom": 19.8, "ef_ev_per_atom": -0.231, "lattice": [[-4.251, 0.225, 1.816], [-1.681, -2.294, -3.651], [0.722, -4.013, 2.189]], "species": ["Be", "Au", "Au", "Au", "Pu"], "frac_coords": [[0.000, 0.000, 0.000], [0.000, 0.500, 0.000], [0.000, 0.000, 0.500], [0.500, 0.000, 0.000], [0.500, 0.500, 0.500]]}

=====

Entry 2:
{"formula": "TbPm6NdSc2", "functional": "PBE", "state": "relaxed", "total_energy_ry_per_atom": -0.363, "vol_a3_per_atom": 32.5, "ef_ev_per_atom": 0.123, "lattice": [[9.178, -1.990, -2.065], [0.701, 8.517, -1.946], [0.701, -2.260, 8.439]], "species": ["Sc", "Sc", "Sc", "Sc", "Pm", "Pm", "Pm", "Pm", "Pm", "Pm", "Pm", "Pm", "Pm", "Pm", "Pm", "Pm", "Tb", "Tb", "Nd", "Nd"], "frac_coords": [[0.951, 0.708, 0.805], [0.549, 0.195, 0.292], [0.049, 0.292, 0.195], [0.451, 0.805, 0.708], [0.620, 0.495, 0.699], [0.320, 0.982, 0.438], [0.680, 0.018, 0.562], [0.554, 0.761, 0.106], [0.180, 0.562, 0.018], [0.120, 0.699, 0.495], [0.820, 0.438, 0.982], [0.446, 0.239, 0.894], [0.054, 0.106, 0.761], [0.946, 0.894, 0.239], [0.380, 0.505, 0.301], [0.880, 0.301, 0.505], [0.250, 0.969, 0.031], [0.750, 0.031, 0.969], [0.750, 0.596, 0.404], [0.250, 0.404, 0.596]]}

=====

Computed values of magnetic moment (unit: μB per formula unit) for the preceding records, in sequence: 5.6 0.0.